No. 1
The following is a DFT calculation (PBE) of a geometry-optimized AcLa2Cd2Sn2 structure.

Unit cell a=5.0421 b=5.0421 c=10.1653 alpha=75.64 beta=75.64 gamma=60.00
With the nearest neighbours (Å) after each atom.
Atoms (fractional coordinates):
1 Sn 0.7361 0.7361 0.7916  3 Cd 2.95
2 Cd 0.4196 0.4196 0.7413  3 Sn 2.95, 3 La 3.24
3 La 0.1348 0.1348 0.5957  3 Cd 3.24, 3 La 3.46, 3 Sn 3.48
4 La 0.8652 0.8652 0.4043  3 Cd 3.24, 3 La 3.46, 3 Sn 3.48
5 Ac 0.0000 0.0000 0.0000  6 Sn 3.55, 6 Cd 3.85, 2 La 3.94
6 Cd 0.5804 0.5804 0.2587  3 Sn 2.95, 3 La 3.24
7 Sn 0.2639 0.2639 0.2084  3 Cd 2.95

DFT total energy = -3.794 eV per atom
M_tot = 0.0 μB/f.u.



No. 2
The following is a DFT calculation (PBE) of a geometry-optimized Tb5NdHo3 structure.

Unit cell a=9.3263 b=9.3263 c=12.8269 alpha=51.40 beta=51.40 gamma=50.83
With the nearest neighbours (Å) after each atom.
Atoms (fractional coordinates):
1 Ho 0.0000 0.0000 0.5000  4 Tb 3.69, 2 Nd 3.73, 2 Ho 3.87
2 Tb 0.3199 0.6801 0.0000  1 Ho 2.56
3 Ho 0.8325 0.8325 0.3398  2 Ho 3.16-3.28, 1 Nd 3.36, 1 Tb 3.36
4 Tb 0.9210 0.5095 0.2209  5 Tb 3.29-3.64, 3 Ho 3.43-3.69, 2 Nd 3.64-3.66
5 Tb 0.6299 0.6299 0.0701  7 Tb 3.22-3.58, 1 Nd 3.27
6 Ho 0.0000 0.0000 0.0000  2 Tb 2.56
7 Ho 0.1675 0.1675 0.6602  2 Ho 3.16-3.28, 1 Nd 3.36, 1 Tb 3.36
8 Tb 0.4424 0.4424 0.4323  6 Tb 3.36-3.74, 2 Ho 3.36-3.54
9 Nd 0.8948 0.8948 0.8689  2 Ho 3.18-3.36, 1 Tb 3.27
10 Tb 0.0790 0.4905 0.7791  5 Tb 3.29-3.64, 3 Ho 3.43-3.69, 2 Nd 3.64-3.66
11 Tb 0.5095 0.9210 0.2209  5 Tb 3.29-3.64, 3 Ho 3.43-3.69, 2 Nd 3.64-3.66
12 Tb 0.3701 0.3701 0.9299  7 Tb 3.22-3.58, 1 Nd 3.27
13 Ho 0.6969 0.6969 0.6838  1 Ho 3.28, 5 Tb 3.31-3.54
14 Tb 0.6801 0.3199 0.0000  1 Ho 2.56
15 Tb 0.4905 0.0790 0.7791  5 Tb 3.29-3.64, 3 Ho 3.43-3.69, 2 Nd 3.64-3.66
16 Ho 0.3031 0.3031 0.3162  1 Ho 3.28, 5 Tb 3.31-3.54
17 Nd 0.1052 0.1052 0.1311  2 Ho 3.18-3.36, 1 Tb 3.27
18 Tb 0.5576 0.5576 0.5677  6 Tb 3.36-3.74, 2 Ho 3.36-3.54

DFT total energy = -4.210 eV per atom
Energy above the most stable polymorph in this dataset = 102 meV/atom
M_tot = 0.0 μB/f.u.



Q: Number 1 is which compound?
A: AcLa2Cd2Sn2



Copy entry 1 word for word.
The following is a DFT calculation (PBE) of a geometry-optimized AcLa2Cd2Sn2 structure.

Unit cell a=5.0421 b=5.0421 c=10.1653 alpha=75.64 beta=75.64 gamma=60.00
With the nearest neighbours (Å) after each atom.
Atoms (fractional coordinates):
1 Sn 0.7361 0.7361 0.7916  3 Cd 2.95
2 Cd 0.4196 0.4196 0.7413  3 Sn 2.95, 3 La 3.24
3 La 0.1348 0.1348 0.5957  3 Cd 3.24, 3 La 3.46, 3 Sn 3.48
4 La 0.8652 0.8652 0.4043  3 Cd 3.24, 3 La 3.46, 3 Sn 3.48
5 Ac 0.0000 0.0000 0.0000  6 Sn 3.55, 6 Cd 3.85, 2 La 3.94
6 Cd 0.5804 0.5804 0.2587  3 Sn 2.95, 3 La 3.24
7 Sn 0.2639 0.2639 0.2084  3 Cd 2.95

DFT total energy = -3.794 eV per atom
M_tot = 0.0 μB/f.u.



Q: M_tot of number 2 (Tb5NdHo3)?
A: 0.0 μB/f.u.